--- i ---
# Ho3SbS2

Crystalline Ho3SbS2 at its relaxed geometry (GGA-PBE, the Alexandria database).

a = 8.6743 Å, b = 7.7435 Å, c = 7.7435 Å
α = 54.82°, β = 55.94°, γ = 55.94°
Last column: nearest neighbours and their distance in Å.
Fractional coordinates of all 12 atoms:
1 Ho 0.0000 0.7292 0.2708  2 S 2.70
2 Ho 0.0000 0.2708 0.7292  2 S 2.70
3 Ho 0.5000 0.7708 0.2292  2 S 2.70
4 Ho 0.5000 0.0000 0.5000  4 S 2.75
5 Ho 0.5000 0.5000 0.0000  4 S 2.75
6 Ho 0.5000 0.2292 0.7708  2 S 2.70
7 Sb 0.1870 0.2500 0.2500  6 Ho 3.17-3.25
8 Sb 0.8130 0.7500 0.7500  6 Ho 3.17-3.25
9 S 0.2627 0.9429 0.9429  4 Ho 2.70-2.75
10 S 0.3515 0.4429 0.4429  4 Ho 2.70-2.75
11 S 0.6485 0.5571 0.5571  4 Ho 2.70-2.75
12 S 0.7373 0.0571 0.0571  4 Ho 2.70-2.75

D(E_F) ... 3.834 states/eV/f.u.

--- ii ---
# Ho3SbS2

Crystalline Ho3SbS2 at its relaxed geometry (GGA-PBE, the Alexandria database).

a = 6.6707 Å, b = 6.7553 Å, c = 6.7553 Å
α = 74.12°, β = 90.00°, γ = 90.00°
Last column: nearest neighbours and their distance in Å.
Fractional coordinates of all 12 atoms:
1 Ho 0.7500 0.9226 0.0774  4 S 2.71, 1 Sb 2.79
2 Ho 0.7500 0.1056 0.5440  4 S 2.83-2.84, 1 Sb 3.08
3 Ho 0.2500 0.5440 0.1056  4 S 2.83-2.84, 1 Sb 3.08
4 Ho 0.7500 0.4560 0.8944  4 S 2.83-2.84, 1 Sb 3.08
5 Ho 0.2500 0.8944 0.4560  4 S 2.83-2.84, 1 Sb 3.08
6 Ho 0.2500 0.0774 0.9226  4 S 2.71, 1 Sb 2.79
7 Sb 0.2500 0.4200 0.5800  3 Ho 2.79-3.08
8 Sb 0.7500 0.5800 0.4200  3 Ho 2.79-3.08
9 S 0.0000 0.1895 0.1895  6 Ho 2.71-2.84
10 S 0.5000 0.1895 0.1895  6 Ho 2.71-2.84
11 S 0.0000 0.8105 0.8105  6 Ho 2.71-2.84
12 S 0.5000 0.8105 0.8105  6 Ho 2.71-2.84

D(E_F) ... 1.598 states/eV/f.u.

The structure with the least stability is i.